An optimized crystal structure of ZrP2Rh. Source: Alexandria via LeMat-Bulk, functional GGA-PBEsol.

Properties
Energy   -0.5525 Ry per atom
Energy above the lowest structure with this stoichiometry   545.2 meV per atom
N(E_F)   0.67 states/eV per atom
ΔE_f   -314 meV/atom

abc: 6.2586 6.2586 6.2586
angles: 90.00 90.00 90.00
With the nearest neighbours (Å) after each atom.
Space group F-43m (No. 216)
Asymmetric unit:
1 Zr 0.0000 0.0000 0.0000 [4 per cell]  4 Rh 2.71, 4 P 2.71
2 P 0.0000 0.0000 0.5000 [4 per cell]  4 Rh 2.71, 4 P 2.71
3 P 0.2500 0.2500 0.2500 [4 per cell]  4 Zr 2.71, 4 P 2.71
4 Rh 0.2500 0.2500 0.7500 [4 per cell]  4 Zr 2.71, 4 P 2.71